1.
First-principles (SCAN) data for a crystal of CaSiN2F relaxed with PBEsol, as listed in the Alexandria database.

Lattice parameters (Å, degrees): 4.5052 4.5052 4.0774 90.00 90.00 90.00
Last column: nearest neighbours and their distance in Å.
Positions (direct):
Ca 0.0000 0.0000 0.0000  2 F 2.04, 4 N 2.25
Si 0.5000 0.5000 0.5000  8 N 3.04, 4 F 3.19
N 0.0000 0.5000 0.0000  2 Ca 2.25
N 0.5000 0.0000 0.0000  2 Ca 2.25
F 0.0000 0.0000 0.5000  2 Ca 2.04

Values from the calculation:
Final energy: -7.743 eV/atom
Density: 2.31 g/cm3

=====

2.
First-principles (SCAN) data for a crystal of FeSiRh2 relaxed with PBEsol, as listed in the Alexandria database.

Lattice parameters (Å, degrees): 5.4970 6.6044 2.7592 90.00 90.00 90.00
Last column: nearest neighbours and their distance in Å.
Positions (direct):
Fe 0.0000 0.0000 0.0000  8 Rh 2.55, 2 Si 2.75, 2 Fe 2.76
Fe 0.5000 0.5000 0.0000  8 Rh 2.55, 2 Si 2.75, 2 Fe 2.76
Si 0.0000 0.5000 0.0000  8 Rh 2.55, 2 Fe 2.75, 2 Si 2.76
Si 0.5000 0.0000 0.0000  8 Rh 2.55, 2 Fe 2.75, 2 Si 2.76
Rh 0.2500 0.2500 0.5000  4 Fe 2.55, 4 Si 2.55, 4 Rh 2.75-2.76
Rh 0.2500 0.7500 0.5000  4 Fe 2.55, 4 Si 2.55, 4 Rh 2.75-2.76
Rh 0.7500 0.2500 0.5000  4 Fe 2.55, 4 Si 2.55, 4 Rh 2.75-2.76
Rh 0.7500 0.7500 0.5000  4 Fe 2.55, 4 Si 2.55, 4 Rh 2.75-2.76

Values from the calculation:
Final energy: -24.476 eV/atom
Density: 9.61 g/cm3

=====

3.
First-principles (SCAN) data for a crystal of Ca3HfRh relaxed with PBEsol, as listed in the Alexandria database.

Lattice parameters (Å, degrees): 5.4703 5.4703 5.4703 90.00 90.00 90.00
Last column: nearest neighbours and their distance in Å.
Positions (direct):
Ca 0.0000 0.0000 0.5000  2 Hf 2.74
Ca 0.0000 0.5000 0.0000  2 Hf 2.74
Ca 0.5000 0.0000 0.0000  2 Hf 2.74
Hf 0.0000 0.0000 0.0000  6 Ca 2.74
Rh 0.5000 0.5000 0.5000  12 Ca 3.87

Values from the calculation:
Final energy: -23.507 eV/atom
Density: 4.07 g/cm3
Calculated formation energy: 1580 meV/atom

=====

4.
First-principles (SCAN) data for a crystal of Zr2GaNiO relaxed with PBEsol, as listed in the Alexandria database.

Lattice parameters (Å, degrees): 4.9820 4.9820 3.3946 90.00 90.00 90.00
Last column: nearest neighbours and their distance in Å.
Positions (direct):
Zr 0.0000 0.5000 0.0000  2 Ni 2.49
Zr 0.5000 0.0000 0.0000  2 Ni 2.49
Ga 0.0000 0.0000 0.5000  8 Zr 3.01
Ni 0.5000 0.5000 0.0000  2 O 1.70
O 0.5000 0.5000 0.5000  2 Ni 1.70

Values from the calculation:
Final energy: -20.385 eV/atom
Density: 6.44 g/cm3

=====

5.
First-principles (SCAN) data for a crystal of Ni2RuWI relaxed with PBEsol, as listed in the Alexandria database.

Lattice parameters (Å, degrees): 4.4122 4.4122 4.7728 90.00 90.00 90.00
Last column: nearest neighbours and their distance in Å.
Positions (direct):
Ni 0.0000 0.5000 0.0000  2 I 2.21
Ni 0.5000 0.0000 0.0000  2 I 2.21
Ru 0.0000 0.0000 0.5000  2 I 2.39
W 0.5000 0.5000 0.5000  4 Ru 3.12, 8 Ni 3.25
I 0.0000 0.0000 0.0000  4 Ni 2.21, 2 Ru 2.39

Values from the calculation:
Final energy: -32.624 eV/atom
Density: 9.46 g/cm3

=====

6.
First-principles (SCAN) data for a crystal of LaCl2 relaxed with PBEsol, as listed in the Alexandria database.

Lattice parameters (Å, degrees): 14.1781 3.6320 6.4438 90.00 110.69 90.00
Last column: nearest neighbours and their distance in Å.
Positions (direct):
La 0.1314 0.0000 0.0555  7 Cl 2.86-2.98
La 0.3686 0.5000 0.9445  7 Cl 2.86-2.98
La 0.6314 0.5000 0.0555  7 Cl 2.86-2.98
La 0.8686 0.0000 0.9445  7 Cl 2.86-2.98
Cl 0.0183 0.5000 0.2516  4 La 2.96-2.98, 1 Cl 3.10
Cl 0.2107 0.0000 0.7042  3 La 2.86-2.87
Cl 0.2893 0.5000 0.2958  3 La 2.86-2.87
Cl 0.4817 0.0000 0.7484  4 La 2.96-2.98, 1 Cl 3.10
Cl 0.5183 0.0000 0.2516  4 La 2.96-2.98, 1 Cl 3.10
Cl 0.7107 0.5000 0.7042  3 La 2.86-2.87
Cl 0.7893 0.0000 0.2958  3 La 2.86-2.87
Cl 0.9817 0.5000 0.7484  4 La 2.96-2.98, 1 Cl 3.10

Values from the calculation:
Final energy: -21.976 eV/atom
Density: 4.49 g/cm3

=====

7.
First-principles (SCAN) data for a crystal of Pt2Au relaxed with PBEsol, as listed in the Alexandria database.

Lattice parameters (Å, degrees): 3.9907 11.8375 3.9602 90.00 90.00 90.00
Last column: nearest neighbours and their distance in Å.
Positions (direct):
Pt 0.0000 0.0839 0.2500  6 Pt 2.78-2.82, 6 Au 2.81-2.82
Pt 0.0000 0.2483 0.7500  8 Pt 2.78-2.82, 4 Au 2.78-2.80
Pt 0.0000 0.7517 0.2500  8 Pt 2.78-2.82, 4 Au 2.78-2.80
Pt 0.0000 0.9161 0.7500  6 Pt 2.78-2.82, 6 Au 2.81-2.82
Pt 0.5000 0.2517 0.2500  8 Pt 2.78-2.82, 4 Au 2.78-2.80
Pt 0.5000 0.4161 0.7500  6 Pt 2.78-2.82, 6 Au 2.81-2.82
Pt 0.5000 0.5839 0.2500  6 Pt 2.78-2.82, 6 Au 2.81-2.82
Pt 0.5000 0.7483 0.7500  8 Pt 2.78-2.82, 4 Au 2.78-2.80
Au 0.0000 0.4157 0.2500  10 Pt 2.78-2.82, 2 Au 2.81
Au 0.0000 0.5843 0.7500  10 Pt 2.78-2.82, 2 Au 2.81
Au 0.5000 0.0843 0.7500  10 Pt 2.78-2.82, 2 Au 2.81
Au 0.5000 0.9157 0.2500  10 Pt 2.78-2.82, 2 Au 2.81

Values from the calculation:
Energy above the most stable polymorph in this dataset: 27 meV/atom
Final energy: -69.743 eV/atom
Density: 20.85 g/cm3
Calculated formation energy: 105 meV/atom

=====

8.
First-principles (SCAN) data for a crystal of AlCd3P relaxed with PBEsol, as listed in the Alexandria database.

Lattice parameters (Å, degrees): 5.0476 5.0476 5.0476 90.00 90.00 90.00
Last column: nearest neighbours and their distance in Å.
Positions (direct):
Al 0.0000 0.0000 0.0000  6 Cd 2.52
Cd 0.0000 0.0000 0.5000  2 Al 2.52
Cd 0.0000 0.5000 0.0000  2 Al 2.52
Cd 0.5000 0.0000 0.0000  2 Al 2.52
P 0.5000 0.5000 0.5000  12 Cd 3.57

Values from the calculation:
Final energy: -21.096 eV/atom
Density: 5.10 g/cm3
Calculated formation energy: 783 meV/atom

=====

9.
First-principles (SCAN) data for a crystal of NbTcRu2Au relaxed with PBEsol, as listed in the Alexandria database.

Lattice parameters (Å, degrees): 4.4462 4.4462 4.9055 90.00 90.00 90.00
Last column: nearest neighbours and their distance in Å.
Positions (direct):
Nb 0.0000 0.0000 0.0000  4 Au 3.14, 8 Ru 3.31
Tc 0.5000 0.5000 0.5000  4 Ru 2.22, 2 Au 2.45
Ru 0.0000 0.5000 0.5000  2 Tc 2.22
Ru 0.5000 0.0000 0.5000  2 Tc 2.22
Au 0.5000 0.5000 0.0000  2 Tc 2.45

Values from the calculation:
Final energy: -39.890 eV/atom
Density: 10.10 g/cm3
Calculated formation energy: 1510 meV/atom

=====

10.
First-principles (SCAN) data for a crystal of Mn3AsP relaxed with PBEsol, as listed in the Alexandria database.

Lattice parameters (Å, degrees): 4.4134 4.4134 4.4134 90.00 90.00 90.00
Last column: nearest neighbours and their distance in Å.
Positions (direct):
Mn 0.0000 0.0000 0.5000  2 As 2.21
Mn 0.0000 0.5000 0.0000  2 As 2.21
Mn 0.5000 0.0000 0.0000  2 As 2.21
As 0.0000 0.0000 0.0000  6 Mn 2.21
P 0.5000 0.5000 0.5000  12 Mn 3.12

Values from the calculation:
Final energy: -16.592 eV/atom
Density: 5.23 g/cm3
Calculated formation energy: 479 meV/atom

=====

11.
First-principles (SCAN) data for a crystal of ScIr2Au relaxed with PBEsol, as listed in the Alexandria database.

Lattice parameters (Å, degrees): 2.8652 2.8652 26.7997 90.00 90.00 120.00
Last column: nearest neighbours and their distance in Å.
Positions (direct):
Sc 0.0000 0.0000 0.0000  6 Ir 2.68, 6 Sc 2.87
Sc 0.3333 0.6667 0.6667  6 Ir 2.68, 6 Sc 2.87
Sc 0.6667 0.3333 0.3333  6 Ir 2.68, 6 Sc 2.87
Ir 0.0000 0.0000 0.2545  3 Sc 2.68, 6 Ir 2.87, 3 Au 2.88
Ir 0.0000 0.0000 0.7455  3 Sc 2.68, 6 Ir 2.87, 3 Au 2.88
Ir 0.3333 0.6667 0.4121  3 Sc 2.68, 6 Ir 2.87, 3 Au 2.88
Ir 0.3333 0.6667 0.9212  3 Sc 2.68, 6 Ir 2.87, 3 Au 2.88
Ir 0.6667 0.3333 0.0788  3 Sc 2.68, 6 Ir 2.87, 3 Au 2.88
Ir 0.6667 0.3333 0.5879  3 Sc 2.68, 6 Ir 2.87, 3 Au 2.88
Au 0.0000 0.0000 0.5000  6 Au 2.87, 6 Ir 2.88
Au 0.3333 0.6667 0.1667  6 Au 2.87, 6 Ir 2.88
Au 0.6667 0.3333 0.8333  6 Au 2.87, 6 Ir 2.88

Values from the calculation:
Energy above the most stable polymorph in this dataset: 175 meV/atom
Final energy: -56.568 eV/atom
Density: 16.38 g/cm3
Calculated formation energy: -170 meV/atom

=====

12.
First-principles (SCAN) data for a crystal of LiScSnW2 relaxed with PBEsol, as listed in the Alexandria database.

Lattice parameters (Å, degrees): 4.3474 4.3474 4.4313 90.00 90.00 90.00
Last column: nearest neighbours and their distance in Å.
Positions (direct):
Li 0.0000 0.0000 0.0000  4 W 2.17, 2 Sn 2.22
Sc 0.5000 0.5000 0.5000  4 Sn 3.07, 8 W 3.10
Sn 0.0000 0.0000 0.5000  2 Li 2.22
W 0.0000 0.5000 0.0000  2 Li 2.17
W 0.5000 0.0000 0.0000  2 Li 2.17

Values from the calculation:
Final energy: -37.424 eV/atom
Density: 10.67 g/cm3
Calculated formation energy: 960 meV/atom

=====

13.
First-principles (SCAN) data for a crystal of HgPdOF2 relaxed with PBEsol, as listed in the Alexandria database.

Lattice parameters (Å, degrees): 4.1639 4.1639 3.9304 90.00 90.00 90.00
Last column: nearest neighbours and their distance in Å.
Positions (direct):
Hg 0.0000 0.0000 0.0000  8 F 2.86, 4 O 2.94
Pd 0.5000 0.5000 0.5000  2 O 1.97, 4 F 2.08
O 0.5000 0.5000 0.0000  2 Pd 1.97
F 0.0000 0.5000 0.5000  2 Pd 2.08
F 0.5000 0.0000 0.5000  2 Pd 2.08

Values from the calculation:
Final energy: -23.573 eV/atom
Density: 8.80 g/cm3